First-principles (PBE) data for a relaxed Mn2AlIn2 crystal, as listed in Alexandria via LeMat-Bulk.

abc: 6.7374 6.7374 6.7374
angles: 145.87 145.87 49.05
Fractional coordinates of all 5 atoms:
Mn 0.0883 0.0883 0.0000
Mn 0.9117 0.9117 0.0000
Al 0.5000 0.5000 0.0000
In 0.2500 0.7500 0.5000
In 0.7500 0.2500 0.5000

For the density of states at the Fermi level, the calculation gives 3.42 states/eV per cell. Its formation enthalpy at 0 K is 0.55 eV/atom. As for the total magnetization: 4.66 μB/cell. The calculation puts the volume at 19.173 Å³/atom.

---

First-principles (PBE) data for a relaxed Mn2AlIn crystal, as listed in Alexandria via LeMat-Bulk.

abc: 5.0912 5.0912 5.0912
angles: 136.58 135.04 64.28
Fractional coordinates of all 4 atoms:
Mn 0.0000 0.0000 0.0000
Mn 0.7512 0.2512 0.5000
Al 0.2488 0.7488 0.5000
In 0.5003 0.5003 0.0000

For the density of states at the Fermi level, the calculation gives 1.73 states/eV per cell. Its formation enthalpy at 0 K is 0.08 eV/atom. As for the total magnetization: 6.01 μB/cell. The calculation puts the volume at 15.803 Å³/atom.

---

First-principles (PBE) data for a relaxed Mn2AlIn crystal, as listed in Alexandria via LeMat-Bulk.

abc: 4.6411 4.6411 5.1587
angles: 99.69 99.69 36.47
Fractional coordinates of all 4 atoms:
Mn 0.2455 0.2455 0.2249
Mn 0.7545 0.7545 0.7751
Al 0.5000 0.5000 0.0000
In 0.0000 0.0000 0.5000

For the density of states at the Fermi level, the calculation gives 3.58 states/eV per cell. Its formation enthalpy at 0 K is 0.19 eV/atom. As for the total magnetization: 5.99 μB/cell. The calculation puts the volume at 16.251 Å³/atom.

---

First-principles (PBE) data for a relaxed Mn2AlIn crystal, as listed in Alexandria via LeMat-Bulk.

abc: 3.0370 3.7836 5.7433
angles: 90.00 90.00 90.00
Fractional coordinates of all 4 atoms:
Mn 0.0000 0.0000 0.0000
Mn 0.5000 0.5000 0.2348
Al 0.0000 0.0000 0.4392
In 0.5000 0.5000 0.7452

For the density of states at the Fermi level, the calculation gives 3.17 states/eV per cell. Its formation enthalpy at 0 K is 0.18 eV/atom. As for the total magnetization: 6.41 μB/cell. The calculation puts the volume at 16.499 Å³/atom.

---

First-principles (PBE) data for a relaxed Mn2Al2In crystal, as listed in Alexandria via LeMat-Bulk.

abc: 6.7687 6.7687 3.2409
angles: 90.00 90.00 90.00
Fractional coordinates of all 10 atoms:
Mn 0.1442 0.3558 0.0000
Mn 0.3558 0.8558 0.0000
Mn 0.6442 0.1442 0.0000
Mn 0.8558 0.6442 0.0000
Al 0.1447 0.6447 0.5000
Al 0.3553 0.1447 0.5000
Al 0.6447 0.8553 0.5000
Al 0.8553 0.3553 0.5000
In 0.0000 0.0000 0.0000
In 0.5000 0.5000 0.0000

For the density of states at the Fermi level, the calculation gives 19.32 states/eV per cell. Its formation enthalpy at 0 K is 0.15 eV/atom. As for the total magnetization: 0.00 μB/cell. The calculation puts the volume at 14.849 Å³/atom.

---

First-principles (PBE) data for a relaxed MnAl2In2 crystal, as listed in Alexandria via LeMat-Bulk.

abc: 6.8718 6.8718 4.3130
angles: 90.00 90.00 90.00
Fractional coordinates of all 10 atoms:
Mn 0.0000 0.0000 0.0000
Mn 0.5000 0.5000 0.0000
Al 0.1391 0.3609 0.0000
Al 0.3609 0.8609 0.0000
Al 0.6391 0.1391 0.0000
Al 0.8609 0.6391 0.0000
In 0.1729 0.6729 0.5000
In 0.3271 0.1729 0.5000
In 0.6729 0.8271 0.5000
In 0.8271 0.3271 0.5000

For the density of states at the Fermi level, the calculation gives 6.22 states/eV per cell. Its formation enthalpy at 0 K is 0.24 eV/atom. As for the total magnetization: 6.72 μB/cell. The calculation puts the volume at 20.367 Å³/atom.